1.
The following is a PBE calculation of K2DyTmS4 after structural relaxation, from Alexandria via LeMat-Bulk.

## Properties
Space group: P2/m
Spin magnetization (μB/cell): 0.0
Formation energy without anion corrections (kJ/mol of formula units): -1457.7

Unit cell a=4.0255 b=6.9727 c=7.7191 alpha=107.51 beta=90.00 gamma=90.00
Last column: nearest neighbours and their distance in Å.
Fractional positions:
K 0.5000 0.0000 0.5000  6 S 3.19
K 0.0000 0.5000 0.5000  6 S 3.21
Dy 0.5000 0.5000 0.0000  6 S 2.76-2.77
Tm 0.0000 0.0000 0.0000  6 S 2.74
S 0.5000 0.2304 0.1999  2 Tm 2.74, 1 Dy 2.77
S 0.5000 0.7696 0.8001  2 Tm 2.74, 1 Dy 2.77
S 0.0000 0.2635 0.7989  1 Tm 2.74, 2 Dy 2.76
S 0.0000 0.7365 0.2011  1 Tm 2.74, 2 Dy 2.76

2.
The following is a PBE calculation of Te2PdNF after structural relaxation, from Alexandria via LeMat-Bulk.

## Properties
Space group: P4/mmm
Spin magnetization (μB/cell): 0.0
Relative energy among the computed polymorphs (meV/atom): 0.0
Formation energy without anion corrections (kJ/mol of formula units): 249.0

Unit cell a=5.5066 b=5.5066 c=3.6398 alpha=90.00 beta=90.00 gamma=90.00
Last column: nearest neighbours and their distance in Å.
Fractional positions:
N 0.0000 0.0000 0.5000  2 Pd 1.82
Te 0.0000 0.5000 0.0000  2 Pd 2.75
Te 0.5000 0.0000 0.0000  2 Pd 2.75
Pd 0.0000 0.0000 0.0000  2 N 1.82
F 0.5000 0.5000 0.5000  8 Te 3.30, 2 F 3.64

3.
The following is a PBE calculation of RbLaIN2 after structural relaxation, from Alexandria via LeMat-Bulk.

## Properties
Space group: P4/mmm
Spin magnetization (μB/cell): 3.0
Relative energy among the computed polymorphs (meV/atom): 0.0
Formation energy without anion corrections (kJ/mol of formula units): 16.9

Unit cell a=4.8619 b=4.8619 c=6.7598 alpha=90.00 beta=90.00 gamma=90.00
Last column: nearest neighbours and their distance in Å.
Fractional positions:
I 0.0000 0.0000 0.5000  2 La 3.38, 4 Rb 3.44
N 0.0000 0.5000 0.0000  2 La 2.43
N 0.5000 0.0000 0.0000  2 La 2.43
Rb 0.5000 0.5000 0.5000  4 I 3.44
La 0.0000 0.0000 0.0000  4 N 2.43

4.
The following is a PBE calculation of Ac3Pm after structural relaxation, from Alexandria via LeMat-Bulk.

## Properties
Space group: Pm-3m
Spin magnetization (μB/cell): 0.0
Relative energy among the computed polymorphs (meV/atom): 0.0
Energy of formation from the pure elements (eV/f.u.): 0.10

Unit cell a=5.5216 b=5.5216 c=5.5216 alpha=90.00 beta=90.00 gamma=90.00
Last column: nearest neighbours and their distance in Å.
Fractional positions:
Ac 0.0000 0.5000 0.5000  8 Ac 3.90, 4 Pm 3.90
Ac 0.5000 0.0000 0.5000  8 Ac 3.90, 4 Pm 3.90
Ac 0.5000 0.5000 0.0000  8 Ac 3.90, 4 Pm 3.90
Pm 0.0000 0.0000 0.0000  12 Ac 3.90

5.
The following is a PBE calculation of LiFePbCl6 after structural relaxation, from Alexandria via LeMat-Bulk.

## Properties
Space group: P-31c
Spin magnetization (μB/cell): 2.0
Formation energy without anion corrections (kJ/mol of formula units): -869.2

Unit cell a=6.3920 b=6.3920 c=12.1212 alpha=90.00 beta=90.00 gamma=120.00
Last column: nearest neighbours and their distance in Å.
Fractional positions:
Li 0.3333 0.6667 0.2500  6 Cl 2.55
Li 0.6667 0.3333 0.7500  6 Cl 2.55
Fe 0.6667 0.3333 0.2500  6 Cl 2.29
Fe 0.3333 0.6667 0.7500  6 Cl 2.29
Pb 0.0000 0.0000 0.0000  6 Cl 2.92
Pb 0.0000 0.0000 0.5000  6 Cl 2.92
Cl 0.6450 0.6148 0.1411  1 Fe 2.29, 1 Li 2.55
Cl 0.9698 0.3550 0.1411  1 Fe 2.29, 1 Li 2.55
Cl 0.3550 0.9698 0.6411  1 Fe 2.29, 1 Li 2.55
Cl 0.0302 0.6450 0.8589  1 Fe 2.29, 1 Li 2.55
Cl 0.3852 0.3550 0.3589  1 Fe 2.29, 1 Li 2.55
Cl 0.9698 0.6148 0.3589  1 Fe 2.29, 1 Li 2.55
Cl 0.6148 0.9698 0.8589  1 Fe 2.29, 1 Li 2.55
Cl 0.6450 0.0302 0.3589  1 Fe 2.29, 1 Li 2.55
Cl 0.0302 0.3852 0.6411  1 Fe 2.29, 1 Li 2.55
Cl 0.3852 0.0302 0.1411  1 Fe 2.29, 1 Li 2.55
Cl 0.6148 0.6450 0.6411  1 Fe 2.29, 1 Li 2.55
Cl 0.3550 0.3852 0.8589  1 Fe 2.29, 1 Li 2.55

6.
The following is a PBE calculation of PmHgHPd2 after structural relaxation, from Alexandria via LeMat-Bulk.

## Properties
E (eV/atom): -4.119
Space group: P4mm
Spin magnetization (μB/cell): 0.0

Unit cell a=4.2762 b=4.2787 c=4.6765 alpha=90.00 beta=90.00 gamma=90.00
Last column: nearest neighbours and their distance in Å.
Fractional positions:
Pm 0.0000 0.0000 0.4769  2 H 2.31-2.36
Hg 0.5000 0.5000 0.5540  4 Pd 2.97, 4 Pm 3.05
H 0.0000 0.0000 0.9819  4 Pd 2.14, 2 Pm 2.31-2.36
Pd 0.0000 0.5000 0.9937  2 H 2.14
Pd 0.5000 0.0000 0.9935  2 H 2.14

7.
The following is a PBE calculation of PPtO2 after structural relaxation, from Alexandria via LeMat-Bulk.

## Properties
Space group: Fd-3m
Spin magnetization (μB/cell): 0.0
Formation energy without anion corrections (kJ/mol of formula units): -9.6

Unit cell a=5.3452 b=5.3452 c=5.3457 alpha=60.00 beta=60.00 gamma=90.00
Last column: nearest neighbours and their distance in Å.
Fractional positions:
P 0.5000 0.5000 0.0000  4 O 1.64
P 0.2500 0.7500 0.5000  4 O 1.64
O 0.3759 0.1250 0.2500  2 P 1.64
O 0.3741 0.6250 0.2500  2 P 1.64
O 0.3750 0.6241 0.7500  2 P 1.64
O 0.8750 0.6259 0.7500  2 P 1.64
Pt 0.0000 0.0000 0.0000  12 O 3.13-3.14, 4 P 3.27, 4 Pt 3.27
Pt 0.7500 0.2500 0.5000  12 O 3.13-3.14, 4 P 3.27, 4 Pt 3.27

8.
The following is a PBE calculation of La2Ga3GeAu4 after structural relaxation, from Alexandria via LeMat-Bulk.

## Properties
Space group: P-4m2
Spin magnetization (μB/cell): 0.0
Energy of formation from the pure elements (eV/f.u.): -6.65

Unit cell a=4.5420 b=4.5420 c=10.4034 alpha=90.00 beta=90.00 gamma=90.00
Last column: nearest neighbours and their distance in Å.
Fractional positions:
La 0.5000 0.0000 0.2503  8 Au 3.45, 2 Ge 3.45, 6 Ga 3.45
La 0.0000 0.5000 0.7497  8 Au 3.45, 2 Ge 3.45, 6 Ga 3.45
Ga 0.0000 0.0000 0.5000  4 Au 2.64
Ga 0.5000 0.0000 0.8712  5 Au 2.53-2.64
Ga 0.0000 0.5000 0.1288  5 Au 2.53-2.64
Ge 0.5000 0.5000 0.5000  4 Au 2.64
Au 0.5000 0.5000 0.0000  4 Ga 2.64
Au 0.0000 0.0000 0.0000  4 Ga 2.64
Au 0.5000 0.0000 0.6285  3 Ga 2.53-2.64, 2 Ge 2.64
Au 0.0000 0.5000 0.3715  3 Ga 2.53-2.64, 2 Ge 2.64

9.
The following is a PBE calculation of PmAlIr2 after structural relaxation, from Alexandria via LeMat-Bulk.

## Properties
Space group: P4/mmm
Spin magnetization (μB/cell): 0.0
Relative energy among the computed polymorphs (meV/atom): 121.5
Energy of formation from the pure elements (eV/f.u.): -2.08

Unit cell a=3.6142 b=4.4483 c=4.4483 alpha=90.00 beta=90.00 gamma=90.00
Last column: nearest neighbours and their distance in Å.
Fractional positions:
Ir 0.0000 0.0000 0.5000  4 Pm 2.87, 4 Al 2.87, 4 Ir 3.15
Ir 0.0000 0.5000 0.0000  4 Pm 2.87, 4 Al 2.87, 4 Ir 3.15
Al 0.5000 0.0000 0.0000  8 Ir 2.87, 4 Pm 3.15
Pm 0.5000 0.5000 0.5000  8 Ir 2.87, 4 Al 3.15

10.
The following is a PBE calculation of TbTh5Sb6 after structural relaxation, from Alexandria via LeMat-Bulk.

## Properties
Space group: C2/m
Spin magnetization (μB/cell): 0.0
Formation energy without anion corrections (kJ/mol of formula units): -1094.6

Unit cell a=7.7826 b=7.7714 c=7.7768 alpha=60.02 beta=80.39 gamma=70.49
Last column: nearest neighbours and their distance in Å.
Fractional positions:
Tb 0.0000 0.0000 0.0000  6 Sb 3.13-3.14
Th 0.5000 0.1686 0.6627  6 Sb 3.18-3.20
Th 0.0000 0.3342 0.3316  6 Sb 3.18
Th 0.5000 0.5000 0.0000  6 Sb 3.18-3.21
Th 0.0000 0.6658 0.6684  6 Sb 3.18
Th 0.5000 0.8314 0.3373  6 Sb 3.18-3.20
Sb 0.7538 0.0817 0.3286  1 Tb 3.13, 5 Th 3.18-3.20
Sb 0.2462 0.5897 0.3286  1 Tb 3.13, 5 Th 3.18-3.20
Sb 0.2490 0.2450 0.0000  1 Tb 3.14, 5 Th 3.18-3.21
Sb 0.7510 0.7550 0.0000  1 Tb 3.14, 5 Th 3.18-3.21
Sb 0.7538 0.4103 0.6714  1 Tb 3.13, 5 Th 3.18-3.20
Sb 0.2462 0.9183 0.6714  1 Tb 3.13, 5 Th 3.18-3.20

11.
The following is a PBE calculation of PuInHg after structural relaxation, from Alexandria via LeMat-Bulk.

## Properties
Space group: F-43m
Spin magnetization (μB/cell): 5.2
Relative energy among the computed polymorphs (meV/atom): 193.9
Energy of formation from the pure elements (eV/f.u.): 0.03

Unit cell a=4.9752 b=4.9752 c=4.9752 alpha=60.00 beta=60.00 gamma=60.00
Last column: nearest neighbours and their distance in Å.
Fractional positions:
In 0.5000 0.5000 0.5000  4 Hg 3.05
Hg 0.2500 0.2500 0.2500  4 In 3.05, 4 Pu 3.05
Pu 0.0000 0.0000 0.0000  4 Hg 3.05

12.
The following is a PBE calculation of CrCo2AsN after structural relaxation, from Alexandria via LeMat-Bulk.

## Properties
Space group: P4/mmm
Spin magnetization (μB/cell): 2.6
Formation energy without anion corrections (kJ/mol of formula units): -12.2

Unit cell a=3.7935 b=3.7935 c=3.8850 alpha=90.00 beta=90.00 gamma=90.00
Last column: nearest neighbours and their distance in Å.
Fractional positions:
Cr 0.0000 0.0000 0.5000  2 N 1.94
As 0.5000 0.5000 0.5000  4 Cr 2.68, 8 Co 2.71
Co 0.0000 0.5000 0.0000  2 N 1.90
Co 0.5000 0.0000 0.0000  2 N 1.90
N 0.0000 0.0000 0.0000  4 Co 1.90, 2 Cr 1.94

Copy entry 7 word for word.
The following is a PBE calculation of PPtO2 after structural relaxation, from Alexandria via LeMat-Bulk.

## Properties
Space group: Fd-3m
Spin magnetization (μB/cell): 0.0
Formation energy without anion corrections (kJ/mol of formula units): -9.6

Unit cell a=5.3452 b=5.3452 c=5.3457 alpha=60.00 beta=60.00 gamma=90.00
Last column: nearest neighbours and their distance in Å.
Fractional positions:
P 0.5000 0.5000 0.0000  4 O 1.64
P 0.2500 0.7500 0.5000  4 O 1.64
O 0.3759 0.1250 0.2500  2 P 1.64
O 0.3741 0.6250 0.2500  2 P 1.64
O 0.3750 0.6241 0.7500  2 P 1.64
O 0.8750 0.6259 0.7500  2 P 1.64
Pt 0.0000 0.0000 0.0000  12 O 3.13-3.14, 4 P 3.27, 4 Pt 3.27
Pt 0.7500 0.2500 0.5000  12 O 3.13-3.14, 4 P 3.27, 4 Pt 3.27

Q: Which value of spin magnetization does entry 3 give?
A: 3.0 μB/cell